# 1
VASP calculation (PBE-GGA) on crystalline Y2ZrPb2 at its relaxed geometry.

abc: 8.9932 8.9932 3.5081
angles: 90.00 90.00 90.00
With the nearest neighbours (Å) after each atom.
Element x y z (fractional)
Pb1 0.3271 0.1729 0.5000  6 Y 3.07-3.26
Pb2 0.6729 0.8271 0.5000  6 Y 3.07-3.26
Pb3 0.8271 0.3271 0.5000  6 Y 3.07-3.26
Pb4 0.1729 0.6729 0.5000  6 Y 3.07-3.26
Zr1 0.0000 0.0000 0.0000  2 Zr 3.51, 4 Y 3.53, 8 Pb 3.76
Zr2 0.5000 0.5000 0.0000  2 Zr 3.51, 4 Y 3.53, 8 Pb 3.76
Y1 0.3708 0.8708 0.0000  6 Pb 3.07-3.26, 1 Y 3.29
Y2 0.1292 0.3708 0.0000  6 Pb 3.07-3.26, 1 Y 3.29
Y3 0.6292 0.1292 0.0000  6 Pb 3.07-3.26, 1 Y 3.29
Y4 0.8708 0.6292 0.0000  6 Pb 3.07-3.26, 1 Y 3.29

Properties
VASP energy in hartree per atom: -0.2128
Total magnetization in μB/f.u.: 1.8
Relative energy among the computed polymorphs in eV per formula unit: 1.781

***

# 2
VASP calculation (PBE-GGA) on crystalline K2Ga4Ag5 at its relaxed geometry.

abc: 5.9002 7.4313 7.3873
angles: 71.16 66.46 66.61
With the nearest neighbours (Å) after each atom.
Element x y z (fractional)
Ag1 0.1976 0.2477 0.8407  4 Ga 2.64-2.87, 2 Ag 2.85-2.96
Ag2 0.0000 0.5000 0.5000  2 Ga 2.77, 4 Ag 2.96
Ag3 0.2859 0.7523 0.1593  4 Ga 2.64-2.87, 2 Ag 2.85-2.96
Ag4 0.8024 0.7523 0.1593  4 Ga 2.64-2.87, 2 Ag 2.85-2.96
Ag5 0.7141 0.2477 0.8407  4 Ga 2.64-2.87, 2 Ag 2.85-2.96
Ga1 0.3786 0.0651 0.1777  2 Ga 2.50-2.72, 2 Ag 2.64
Ga2 0.6214 0.9349 0.8223  2 Ga 2.50-2.72, 2 Ag 2.64
Ga3 0.2266 0.4393 0.1074  1 Ga 2.50, 3 Ag 2.65-2.77
Ga4 0.7734 0.5607 0.8926  1 Ga 2.50, 3 Ag 2.65-2.77
K1 0.2884 0.7785 0.6448  6 Ga 3.38-3.57, 6 Ag 3.66-3.74
K2 0.7116 0.2215 0.3552  6 Ga 3.38-3.57, 6 Ag 3.66-3.74

Properties
VASP energy in hartree per atom: -0.0957
Total magnetization in μB/f.u.: 0.0
Relative energy among the computed polymorphs in eV per formula unit: 0.530